Entry 1:
Below is crystalline Ca4P7Ir8 at its relaxed geometry, with properties calculated at the GGA-PBEsol level.

Computed properties:
Calculated total energy = -289.90 eV per cell
Calculated formation energy = -88 kJ per mole of atoms
Space-group type = P2_1/m
Total magnetization = 0.0 μB per cell

Geometry as POSCAR:
```
Ca4P7Ir8
1.0
12.5018 0.0000 0.0000
0.0000 3.9337 0.0000
-2.0017 0.0000 12.8695
Ca P Ir
8 14 16
Direct
0.0148 0.2500 0.2084
0.2163 0.7500 0.6056
0.2859 0.7500 0.9345
0.3970 0.7500 0.2920
0.6030 0.2500 0.7080
0.7141 0.2500 0.0655
0.7837 0.2500 0.3944
0.9852 0.7500 0.7916
0.0285 0.2500 0.6285
0.1103 0.2500 0.9376
0.1906 0.7500 0.1888
0.2421 0.2500 0.4205
0.3446 0.2500 0.7804
0.4084 0.2500 0.0873
0.4434 0.7500 0.5998
0.5566 0.2500 0.4002
0.5916 0.7500 0.9127
0.6554 0.7500 0.2196
0.7579 0.7500 0.5795
0.8094 0.2500 0.8112
0.8897 0.7500 0.0624
0.9715 0.7500 0.3715
0.0543 0.2500 0.4519
0.0767 0.7500 0.0279
0.1610 0.7500 0.3586
0.1625 0.2500 0.7730
0.2284 0.2500 0.1044
0.4174 0.2500 0.5017
0.4389 0.7500 0.7745
0.4854 0.2500 0.9251
0.5146 0.7500 0.0749
0.5611 0.2500 0.2255
0.5826 0.7500 0.4983
0.7716 0.7500 0.8956
0.8375 0.7500 0.2270
0.8390 0.2500 0.6414
0.9233 0.2500 0.9721
0.9457 0.7500 0.5481
```

Entry 2:
Below is crystalline CaPIr2 at its relaxed geometry, with properties calculated at the GGA-PBEsol level.

Computed properties:
Calculated total energy = -105.85 eV per cell
Calculated formation energy = 27 kJ per mole of atoms
Space-group type = F-43m
Total magnetization = 0.0 μB per cell

Geometry as POSCAR:
```
CaPIr2
1.0
6.3527 0.0000 0.0000
0.0000 6.3527 0.0000
0.0000 0.0000 6.3527
Ca P Ir
4 4 8
Direct
0.0000 0.0000 0.0000
0.0000 0.5000 0.5000
0.5000 0.0000 0.5000
0.5000 0.5000 0.0000
0.2500 0.2500 0.7500
0.2500 0.7500 0.2500
0.7500 0.2500 0.2500
0.7500 0.7500 0.7500
0.0000 0.0000 0.5000
0.0000 0.5000 0.0000
0.2500 0.2500 0.2500
0.2500 0.7500 0.7500
0.5000 0.0000 0.0000
0.5000 0.5000 0.5000
0.7500 0.2500 0.7500
0.7500 0.7500 0.2500
```

Entry 3:
Below is crystalline CaPIr2 at its relaxed geometry, with properties calculated at the GGA-PBEsol level.

Computed properties:
Calculated total energy = -54.82 eV per cell
Calculated formation energy = 4 kJ per mole of atoms
Space-group type = I4/mmm
Total magnetization = 0.0 μB per cell

Geometry as POSCAR:
```
CaPIr2
1.0
4.0564 0.0000 0.0000
0.0000 4.0564 0.0000
0.0000 0.0000 7.4429
Ca P Ir
2 2 4
Direct
0.0000 0.0000 0.0000
0.5000 0.5000 0.5000
0.0000 0.0000 0.5000
0.5000 0.5000 0.0000
0.0000 0.5000 0.2500
0.0000 0.5000 0.7500
0.5000 0.0000 0.2500
0.5000 0.0000 0.7500
```

Number 1: D(E_F) 15.28 states/eV/cell. Number 2: D(E_F) 25.90 states/eV/cell. Number 3: D(E_F) 3.87 states/eV/cell.